Fe2Co3O10 | the Alexandria database | GGA+U | relaxed; magnetization = 1.0 μB/f.u.; total energy = -5.8043 eV per atom
1.0
5.209 0.000 0.000
0.000 2.863 0.000
-2.359 0.000 23.574
Fe Co O
4 6 20
Direct
0.000 0.000 0.000 Fe
0.190 0.000 0.593 Fe
0.588 0.000 0.795 Fe
0.797 0.500 0.899 Fe
0.199 0.500 0.100 Co
0.389 0.500 0.693 Co
0.396 0.000 0.199 Co
0.595 0.500 0.297 Co
0.792 0.000 0.395 Co
0.990 0.500 0.494 Co
0.088 0.000 0.448 O
0.092 0.500 0.640 O
0.099 0.500 0.953 O
0.101 0.000 0.145 O
0.283 0.000 0.738 O
0.288 0.500 0.547 O
0.297 0.500 0.244 O
0.301 0.000 0.055 O
0.491 0.000 0.648 O
0.493 0.500 0.153 O
0.494 0.500 0.845 O
0.497 0.000 0.342 O
0.684 0.500 0.745 O
0.693 0.000 0.251 O
0.694 0.000 0.946 O
0.695 0.500 0.441 O
0.888 0.000 0.539 O
0.890 0.500 0.350 O
0.901 0.500 0.047 O
0.902 0.000 0.852 O